(1)
# LaAu3Se | Alexandria via LeMat-Bulk | GGA-PBEsol | optimized geometry
# DOS(E_F) ... 4.8 states/eV/cell
# Raw formation energy ... 0.861 eV/atom
# Total magnetization ... 0.36 μB per atom
# Symmetry ... Pm-3m, No. 221
data_LaAu3Se
_cell_length_a 5.5129
_cell_length_b 5.5129
_cell_length_c 5.5129
_cell_angle_alpha 90.00
_cell_angle_beta 90.00
_cell_angle_gamma 90.00
_symmetry_space_group_name_H-M 'P 1'
_symmetry_Int_Tables_number 1
_symmetry_space_group_name_Hall 'P 1'
loop_
_atom_site_label
_atom_site_fract_x
_atom_site_fract_y
_atom_site_fract_z
Au1 0.0000 0.5000 0.0000
Au2 0.0000 0.0000 0.5000
Se1 0.5000 0.5000 0.5000
Au3 0.5000 0.0000 0.0000
La1 0.0000 0.0000 0.0000

(2)
# La2AuSe | Alexandria via LeMat-Bulk | GGA-PBEsol | optimized geometry
# DOS(E_F) ... 4.9 states/eV/cell
# E above lowest polymorph ... 0 meV per atom
# Raw formation energy ... -1.307 eV/atom
# Total magnetization ... 0.00 μB per atom
# Symmetry ... P4/mmm, No. 123
data_La2AuSe
_cell_length_a 4.2646
_cell_length_b 4.2646
_cell_length_c 6.2230
_cell_angle_alpha 90.00
_cell_angle_beta 90.00
_cell_angle_gamma 90.00
_symmetry_space_group_name_H-M 'P 1'
_symmetry_Int_Tables_number 1
_symmetry_space_group_name_Hall 'P 1'
loop_
_atom_site_label
_atom_site_fract_x
_atom_site_fract_y
_atom_site_fract_z
La1 0.0000 0.0000 0.0000
Se1 0.5000 0.5000 0.0000
La2 0.5000 0.5000 0.5000
Au1 0.0000 0.0000 0.5000

(3)
# LaAu2Se | Alexandria via LeMat-Bulk | GGA-PBEsol | optimized geometry
# DOS(E_F) ... 2.0 states/eV/cell
# Raw formation energy ... -0.818 eV/atom
# Total magnetization ... 0.00 μB per atom
# Symmetry ... Cmmm, No. 65
data_LaAu2Se
_cell_length_a 4.1086
_cell_length_b 4.1086
_cell_length_c 5.4227
_cell_angle_alpha 90.00
_cell_angle_beta 90.00
_cell_angle_gamma 91.03
_symmetry_space_group_name_H-M 'P 1'
_symmetry_Int_Tables_number 1
_symmetry_space_group_name_Hall 'P 1'
loop_
_atom_site_label
_atom_site_fract_x
_atom_site_fract_y
_atom_site_fract_z
Se1 0.0000 0.0000 0.5000
Au1 0.7552 0.2448 0.0000
Au2 0.2448 0.7552 0.0000
La1 0.5000 0.5000 0.5000